Li3Nd3PaS8 GGA-PBE relaxed; SG = No. 166; uncorrected formation energy = -26.00 eV/f.u.; uncorrected energy = -0.217 Ha/atom; volume = 354.38 Å³ per cell
1.0
-4.351 2.602 -6.380
-2.384 -6.602 4.138
-0.318 7.097 3.111
S Pa Li Nd
8 1 3 3
Direct
0.766 0.007 0.747
0.241 0.007 0.747
0.247 0.495 0.242
0.759 0.993 0.253
0.759 0.518 0.253
0.241 0.482 0.747
0.753 0.505 0.758
0.234 0.993 0.253
0.000 0.000 0.500
0.000 0.000 0.000
0.500 0.500 0.000
0.000 0.500 0.000
0.500 0.000 0.500
0.500 0.500 0.500
0.000 0.500 0.500